[1]
Material: Be2ZnSeO6
Method: DFT, PBE-GGA
State: optimized geometry

Unit cell a=6.252 b=6.252 c=5.554 alpha=105.80 beta=105.80 gamma=81.65
Fractional positions:
Be1 0.122 0.266 0.126
Be2 0.266 0.122 0.626
Be3 0.734 0.878 0.374
Be4 0.878 0.734 0.874
Zn1 0.404 0.596 0.750
Zn2 0.596 0.404 0.250
Se1 0.227 0.773 0.250
Se2 0.773 0.227 0.750
O1 0.081 0.219 0.800
O2 0.146 0.697 0.909
O3 0.219 0.081 0.300
O4 0.272 0.477 0.289
O5 0.303 0.854 0.591
O6 0.477 0.272 0.789
O7 0.523 0.728 0.211
O8 0.697 0.146 0.409
O9 0.728 0.523 0.711
O10 0.781 0.919 0.700
O11 0.854 0.303 0.091
O12 0.919 0.781 0.200

Values from the calculation:
Fermi-level density of states   0.0 states/eV/f.u.
Magnetization   0.000 μB/f.u.

[2]
Material: Be2Si2O5
Method: DFT, PBE-GGA
State: optimized geometry

Unit cell a=3.327 b=3.327 c=6.696 alpha=90.00 beta=90.00 gamma=90.00
Fractional positions:
Be1 0.000 0.000 0.247
Be2 0.000 0.000 0.753
Si1 0.500 0.500 0.000
Si2 0.500 0.500 0.500
O1 0.000 0.000 0.500
O2 0.000 0.500 0.172
O3 0.000 0.500 0.828
O4 0.500 0.000 0.172
O5 0.500 0.000 0.828

Values from the calculation:
Magnetization   0.000 μB/f.u.

[3]
Material: Be2SiO4
Method: DFT, PBE-GGA
State: optimized geometry

Unit cell a=7.769 b=7.769 c=7.769 alpha=108.02 beta=108.02 gamma=108.02
Fractional positions:
Be1 0.101 0.873 0.279
Be2 0.127 0.721 0.899
Be3 0.206 0.610 0.431
Be4 0.279 0.101 0.873
Be5 0.390 0.569 0.794
Be6 0.431 0.206 0.610
Be7 0.569 0.794 0.390
Be8 0.610 0.431 0.206
Be9 0.721 0.899 0.127
Be10 0.794 0.390 0.569
Be11 0.873 0.279 0.101
Be12 0.899 0.127 0.721
Si1 0.054 0.234 0.461
Si2 0.234 0.461 0.054
Si3 0.461 0.054 0.234
Si4 0.539 0.946 0.766
Si5 0.766 0.539 0.946
Si6 0.946 0.766 0.539
O1 0.003 0.706 0.038
O2 0.038 0.003 0.706
O3 0.040 0.371 0.337
O4 0.084 0.749 0.416
O5 0.251 0.584 0.916
O6 0.294 0.329 0.624
O7 0.294 0.962 0.997
O8 0.329 0.624 0.294
O9 0.337 0.040 0.371
O10 0.371 0.337 0.040
O11 0.376 0.706 0.671
O12 0.416 0.084 0.749
O13 0.584 0.916 0.251
O14 0.624 0.294 0.329
O15 0.629 0.663 0.960
O16 0.663 0.960 0.629
O17 0.671 0.376 0.706
O18 0.706 0.038 0.003
O19 0.706 0.671 0.376
O20 0.749 0.416 0.084
O21 0.916 0.251 0.584
O22 0.960 0.629 0.663
O23 0.962 0.997 0.294
O24 0.997 0.294 0.962

Values from the calculation:
Relative energy among the computed polymorphs   0.000 eV/atom
Fermi-level density of states   0.0 states/eV/f.u.
Magnetization   0.000 μB/f.u.

[4]
Material: BeSiO
Method: DFT, PBE-GGA
State: optimized geometry

Unit cell a=2.591 b=8.875 c=8.875 alpha=17.92 beta=90.00 gamma=90.00
Fractional positions:
Be1 0.000 0.000 0.000
Be2 0.500 0.389 0.389
Si1 0.500 0.149 0.149
Si2 0.500 0.778 0.778
O1 0.000 0.441 0.441
O2 0.500 0.051 0.051

Values from the calculation:
Relative energy among the computed polymorphs   0.118 eV/atom
Fermi-level density of states   0.6 states/eV/f.u.
Magnetization   0.000 μB/f.u.

[5]
Material: Be2SiO2
Method: DFT, PBE-GGA
State: optimized geometry

Unit cell a=6.527 b=6.527 c=2.414 alpha=90.00 beta=90.00 gamma=90.00
Fractional positions:
Be1 0.099 0.401 0.000
Be2 0.401 0.901 0.000
Be3 0.599 0.099 0.000
Be4 0.901 0.599 0.000
Si1 0.000 0.000 0.000
Si2 0.500 0.500 0.000
O1 0.116 0.616 0.500
O2 0.384 0.116 0.500
O3 0.616 0.884 0.500
O4 0.884 0.384 0.500

Values from the calculation:
Relative energy among the computed polymorphs   0.887 eV/atom
Fermi-level density of states   1.2 states/eV/f.u.
Magnetization   0.000 μB/f.u.

[6]
Material: BeSiO
Method: DFT, PBE-GGA
State: optimized geometry

Unit cell a=2.685 b=2.685 c=9.543 alpha=90.00 beta=90.00 gamma=120.00
Fractional positions:
Be1 0.000 0.000 0.000
Be2 0.333 0.667 0.231
Si1 0.333 0.667 0.481
Si2 0.333 0.667 0.735
O1 0.000 0.000 0.175
O2 0.333 0.667 0.945

Values from the calculation:
Relative energy among the computed polymorphs   0.021 eV/atom
Fermi-level density of states   0.9 states/eV/f.u.
Magnetization   0.000 μB/f.u.

[7]
Material: Be2SiO4
Method: DFT, PBE-GGA
State: optimized geometry

Unit cell a=4.808 b=4.808 c=4.808 alpha=131.23 beta=131.23 gamma=71.44
Fractional positions:
Be1 0.250 0.750 0.500
Be2 0.750 0.250 0.500
Si1 0.000 0.000 0.000
O1 0.093 0.093 0.454
O2 0.361 0.907 0.000
O3 0.639 0.639 0.546
O4 0.907 0.361 0.000

Values from the calculation:
Relative energy among the computed polymorphs   0.113 eV/atom
Fermi-level density of states   0.0 states/eV/f.u.
Magnetization   0.000 μB/f.u.

[8]
Material: BeSiO
Method: DFT, PBE-GGA
State: optimized geometry

Unit cell a=2.611 b=2.762 c=8.321 alpha=90.00 beta=90.00 gamma=90.00
Fractional positions:
Be1 0.000 0.000 0.000
Be2 0.500 0.500 0.230
Si1 0.000 0.000 0.515
Si2 0.000 0.500 0.775
O1 0.000 0.500 0.344
O2 0.500 0.000 0.115

Values from the calculation:
Relative energy among the computed polymorphs   0.140 eV/atom
Fermi-level density of states   0.2 states/eV/f.u.
Magnetization   0.000 μB/f.u.

[9]
Material: BeSiO
Method: DFT, PBE-GGA
State: optimized geometry

Unit cell a=2.682 b=2.667 c=8.710 alpha=90.00 beta=93.92 gamma=90.00
Fractional positions:
Be1 0.000 0.000 0.000
Be2 0.451 0.500 0.778
Si1 0.087 0.500 0.220
Si2 0.808 0.500 0.480
O1 0.478 0.000 0.898
O2 0.931 0.500 0.678

Values from the calculation:
Relative energy among the computed polymorphs   0.144 eV/atom
Fermi-level density of states   0.1 states/eV/f.u.
Magnetization   0.000 μB/f.u.

[10]
Material: BeSiO
Method: DFT, PBE-GGA
State: optimized geometry

Unit cell a=2.686 b=2.686 c=12.762 alpha=87.81 beta=88.08 gamma=60.01
Fractional positions:
Be1 0.000 0.000 0.000
Be2 0.309 0.300 0.233
Si1 0.077 0.895 0.532
Si2 0.396 0.207 0.701
O1 0.333 0.333 0.999
O2 0.976 0.966 0.234

Values from the calculation:
Relative energy among the computed polymorphs   0.000 eV/atom
Fermi-level density of states   0.6 states/eV/f.u.
Magnetization   0.000 μB/f.u.

[11]
Material: Be2SiO4
Method: DFT, PBE-GGA
State: optimized geometry

Unit cell a=3.902 b=3.902 c=3.939 alpha=90.00 beta=90.00 gamma=90.00
Fractional positions:
Be1 0.000 0.500 0.000
Be2 0.500 0.000 0.000
Si1 0.000 0.000 0.500
O1 0.236 0.236 0.761
O2 0.236 0.764 0.239
O3 0.764 0.236 0.239
O4 0.764 0.764 0.761

Values from the calculation:
Relative energy among the computed polymorphs   0.150 eV/atom
Fermi-level density of states   0.0 states/eV/f.u.
Magnetization   0.000 μB/f.u.

[12]
Material: BeSiO
Method: DFT, PBE-GGA
State: optimized geometry

Unit cell a=6.245 b=6.245 c=4.642 alpha=110.29 beta=110.29 gamma=24.40
Fractional positions:
Be1 0.000 0.000 0.000
Be2 0.543 0.543 0.550
Si1 0.746 0.746 0.644
Si2 0.816 0.816 0.208
O1 0.525 0.525 0.870
O2 0.977 0.977 0.330

Values from the calculation:
Relative energy among the computed polymorphs   0.127 eV/atom
Fermi-level density of states   0.7 states/eV/f.u.
Magnetization   0.000 μB/f.u.

| no. | formation energy from raw total energies (eV/atom) | E_tot (eV per atom) |
| --- | --- | --- |
| 1 | -1.509 | -5.705 |
| 2 | -1.529 | -6.317 |
| 3 | -2.781 | -7.454 |
| 4 | -1.413 | -6.116 |
| 5 | -0.304 | -4.862 |
| 6 | -1.510 | -6.212 |
| 7 | -2.668 | -7.341 |
| 8 | -1.391 | -6.093 |
| 9 | -1.387 | -6.089 |
| 10 | -1.531 | -6.233 |
| 11 | -2.631 | -7.304 |
| 12 | -1.404 | -6.106 |